Below is crystalline YZrSb2 at its relaxed geometry, with properties calculated at the GGA-PBE level.

* DFT total energy: -6.45 eV per atom
* calculated volume: 101.1 Å³ per cell
* ΔE_f (raw): -0.6378 eV per atom

Unit cell a=5.2699 b=5.2699 c=3.7650 alpha=97.80 beta=97.80 gamma=98.51
Last column: nearest neighbours and their distance in Å.
Positions (direct):
Y1 0.0000 0.0000 0.0000  4 Sb 3.02
Zr1 0.5000 0.5000 0.0000  4 Sb 3.02
Sb1 0.0000 0.5000 0.5000  2 Zr 3.02, 2 Y 3.02
Sb2 0.5000 0.0000 0.5000  2 Zr 3.02, 2 Y 3.02